VASP calculation (PBE with a Hubbard U) on a geometry-optimized NdErMoO6 structure.

```
NdErMoO6
1.0
5.602 0.000 0.000
-2.801 4.851 0.000
0.000 0.000 4.720
Nd Er Mo O
1 1 1 6
Direct
0.000 0.000 0.000
0.667 0.333 0.500
0.333 0.667 0.000
0.034 0.386 0.232
0.034 0.648 0.768
0.352 0.386 0.768
0.352 0.966 0.232
0.614 0.648 0.232
0.614 0.966 0.768
```

Computed properties:
size of the total moment	0.0	μB/f.u.
SG	P312, No. 149
raw total energy	-0.2836	hartree per atom